Computed, not measured: BiW2O8 after structural relaxation at the GGA+U level of DFT.

Properties
VASP energy: -6.71 eV/atom

Unit cell a=6.4089 b=10.4151 c=3.8798 alpha=90.00 beta=90.00 gamma=90.00
With the nearest neighbours (Å) after each atom.
Space group Cmm2 (No. 35)
Unique sites:
Bi1 0.0000 0.0000 0.0000 (multiplicity 2)  4 O 2.28
W1 0.0000 0.3052 0.6748 (multiplicity 4)  8 O 1.96-2.17
O1 0.0000 0.2759 0.1748 (multiplicity 4)  2 W 1.96
O2 0.0000 0.5000 0.4855 (multiplicity 2)  1 O 1.50
O3 0.0000 0.5000 0.8733 (multiplicity 2)  1 O 1.50
O4 0.1864 0.1419 0.6753 (multiplicity 8)  2 W 2.08, 1 Bi 2.28